# 1
Compound: Fe2BPt2
Source: Alexandria via LeMat-Bulk
Functional: GGA-PBE
Structure: relaxed

Results
* density of states at the Fermi level: 10.59 states/eV per cell
* energy above the most stable polymorph in this dataset: 0 meV per atom
* DFT total energy: -71.26 eV/cell
* E_form: 0.011 eV per atom
* ρ: 12.4 Mg/m³

Cell and atoms, written as POSCAR:
```
Fe2BPt2
1.0
5.5982 0.0000 0.0000
0.0000 5.5982 0.0000
0.0000 0.0000 4.3738
Fe B Pt
4 2 4
Direct
0.1520 0.3480 0.0000
0.3480 0.8480 0.0000
0.6520 0.1520 0.0000
0.8480 0.6520 0.0000
0.0000 0.0000 0.5000
0.5000 0.5000 0.5000
0.1650 0.6650 0.5000
0.3350 0.1650 0.5000
0.6650 0.8350 0.5000
0.8350 0.3350 0.5000
```



# 2
Compound: CdTcP2
Source: Alexandria via LeMat-Bulk
Functional: GGA-PBE
Structure: relaxed

Results
* density of states at the Fermi level: 4.66 states/eV per cell
* DFT total energy: -43.82 eV/cell
* E_form: 0.048 eV per atom
* ρ: 5.1 Mg/m³

Cell and atoms, written as POSCAR:
```
CdTcP2
1.0
-2.8859 2.8859 5.3745
2.8859 -2.8859 5.3745
2.8859 2.8859 -5.3745
Cd Tc P
2 2 4
Direct
0.0000 0.0000 0.0000
0.7500 0.2500 0.5000
0.2500 0.7500 0.5000
0.5000 0.5000 0.0000
0.1804 0.6250 0.0554
0.3750 0.4304 0.5554
0.5696 0.1250 0.9446
0.8750 0.8196 0.4446
```



# 3
Compound: CoAu2Se
Source: Alexandria via LeMat-Bulk
Functional: GGA-PBE
Structure: relaxed

Results
* density of states at the Fermi level: 2.77 states/eV per cell
* DFT total energy: -16.80 eV/cell
* formation energy without anion corrections: 0.086 eV per atom
* ρ: 12.6 Mg/m³

Cell and atoms, written as POSCAR:
```
CoAu2Se
1.0
2.9148 0.0000 0.0000
0.0000 2.9148 0.0000
0.0000 0.0000 8.2238
Co Au Se
1 2 1
Direct
0.0000 0.0000 0.0000
0.0000 0.0000 0.5066
0.5000 0.5000 0.7619
0.5000 0.5000 0.1430
```



# 4
Compound: Ta3ReTe
Source: Alexandria via LeMat-Bulk
Functional: GGA-PBE
Structure: relaxed

Results
* density of states at the Fermi level: 7.49 states/eV per cell
* energy above the most stable polymorph in this dataset: 1133 meV per atom
* DFT total energy: -39.68 eV/cell
* formation energy without anion corrections: 2.293 eV per atom
* ρ: 12.3 Mg/m³

Cell and atoms, written as POSCAR:
```
Ta3ReTe
1.0
4.8776 0.0000 0.0000
0.0000 4.8776 0.0000
0.0000 0.0000 4.8776
Ta Re Te
3 1 1
Direct
0.0000 0.0000 0.5000
0.0000 0.5000 0.0000
0.5000 0.0000 0.0000
0.5000 0.5000 0.5000
0.0000 0.0000 0.0000
```